An optimized crystal structure of Cu3HgC, computed with PBE.

For the relative energy among the computed polymorphs, the calculation gives 1780.0 meV per atom. The calculation puts the formation energy at 2215 meV per atom.

The structure belongs to space group Pm-3m (No. 221); the cell edges are 4.8304, 4.8304 and 4.8304 Å and the angles 90.00°, 90.00° and 90.00°. The asymmetric unit holds Cu at (0.0000, 0.0000, 0.5000), Hg at (0.0000, 0.0000, 0.0000) and C at (0.5000, 0.5000, 0.5000).

---

An optimized crystal structure of CuHg2C, computed with PBE.

The calculation puts the formation energy at 1330 meV per atom.

The structure belongs to space group I-42d (No. 122); the cell edges are 5.3094, 5.3094 and 12.1397 Å and the angles 90.00°, 90.00° and 90.00°. The asymmetric unit holds Cu at (0.0000, 0.0000, 0.0000), Hg at (0.1601, 0.2500, 0.6250) and C at (0.0000, 0.0000, 0.5000).

---

An optimized crystal structure of Cu3HgC, computed with PBE.

For the relative energy among the computed polymorphs, the calculation gives 0.0 meV per atom. The calculation puts the formation energy at 435 meV per atom.

The structure belongs to space group Pm-3m (No. 221); the cell edges are 4.0043, 4.0043 and 4.0043 Å and the angles 90.00°, 90.00° and 90.00°. The asymmetric unit holds Cu at (0.0000, 0.0000, 0.5000), Hg at (0.5000, 0.5000, 0.5000) and C at (0.0000, 0.0000, 0.0000).

---

An optimized crystal structure of La2CuHgC, computed with PBE.

The calculation puts the formation energy at -186 meV per atom.

The structure belongs to space group P4/mmm (No. 123); the cell edges are 5.4165, 5.4165 and 3.8682 Å and the angles 90.00°, 90.00° and 90.00°. The asymmetric unit holds La at (0.0000, 0.5000, 0.0000), Cu at (0.0000, 0.0000, 0.5000), Hg at (0.5000, 0.5000, 0.5000) and C at (0.0000, 0.0000, 0.0000).

---

An optimized crystal structure of CuReHgC2, computed with PBE.

The calculation puts the formation energy at 3447 meV per atom.

The structure belongs to space group P4/mmm (No. 123); the cell edges are 4.1060, 4.1060 and 5.4452 Å and the angles 90.00°, 90.00° and 90.00°. The asymmetric unit holds Cu at (0.0000, 0.0000, 0.0000), Re at (0.5000, 0.5000, 0.0000), Hg at (0.5000, 0.5000, 0.5000) and C at (0.0000, 0.5000, 0.5000).

---

An optimized crystal structure of Cu2SiHgC, computed with PBE.

As for the formation energy from raw total energies: 0.866 eV per atom.

The structure belongs to space group P4/mmm (No. 123); the cell edges are 3.8667, 3.8667 and 5.1732 Å and the angles 90.00°, 90.00° and 90.00°. The asymmetric unit holds Cu at (0.0000, 0.5000, 0.0000), Si at (0.0000, 0.0000, 0.5000), Hg at (0.5000, 0.5000, 0.5000) and C at (0.5000, 0.5000, 0.0000).

---

An optimized crystal structure of TlCuHgC2, computed with PBE.

The calculation puts the formation energy at 2549 meV per atom.

The structure belongs to space group P4/mmm (No. 123); the cell edges are 4.1337, 4.1337 and 6.4238 Å and the angles 90.00°, 90.00° and 90.00°. The asymmetric unit holds Tl at (0.0000, 0.0000, 0.0000), Cu at (0.5000, 0.5000, 0.0000), Hg at (0.0000, 0.0000, 0.5000) and C at (0.0000, 0.5000, 0.5000).

---

An optimized crystal structure of Y2CuHgC, computed with PBE.

The calculation puts the formation energy at -266 meV per atom.

The structure belongs to space group P4/mmm (No. 123); the cell edges are 5.0274, 5.0274 and 3.8915 Å and the angles 90.00°, 90.00° and 90.00°. The asymmetric unit holds Y at (0.0000, 0.5000, 0.0000), Cu at (0.0000, 0.0000, 0.5000), Hg at (0.5000, 0.5000, 0.5000) and C at (0.0000, 0.0000, 0.0000).

---

Number 1: density of states at the Fermi level 2.37 states/eV/f.u., magnetic moment 0.25 μB/atom. Number 2: density of states at the Fermi level 2.54 states/eV/f.u., magnetic moment 0.00 μB/atom. Number 3: density of states at the Fermi level 1.32 states/eV/f.u., magnetic moment 0.00 μB/atom. Number 4: density of states at the Fermi level 4.97 states/eV/f.u., magnetic moment 0.00 μB/atom. Number 5: density of states at the Fermi level 2.93 states/eV/f.u., magnetic moment 0.47 μB/atom. Number 6: density of states at the Fermi level 2.18 states/eV/f.u., magnetic moment 0.00 μB/atom. Number 7: density of states at the Fermi level 3.44 states/eV/f.u., magnetic moment 0.10 μB/atom. Number 8: density of states at the Fermi level 3.68 states/eV/f.u., magnetic moment 0.00 μB/atom.